Dy6Te3Pt2Pb: relaxed, PBE-GGA.

a b c (Å): 9.7921 9.7921 8.8632
angles (deg): 106.61 106.61 24.71
Element x y z (fractional)
1 Dy 0.0113 0.0113 0.2583
2 Dy 0.3227 0.3227 0.4354
3 Dy 0.3295 0.3295 0.8814
4 Dy 0.6705 0.6705 0.1186
5 Dy 0.6773 0.6773 0.5646
6 Dy 0.9887 0.9887 0.7417
7 Te 0.1614 0.1614 0.8379
8 Te 0.5000 0.5000 0.5000
9 Te 0.8386 0.8386 0.1621
10 Pt 0.1685 0.1685 0.3390
11 Pt 0.8315 0.8315 0.6610
12 Pb 0.5000 0.5000 0.0000

Computed properties:
V: 339.76 Å³/f.u.
total magnetization: 0.0 μB per formula unit
formation energy (no corrections): -13.7 eV per formula unit
density of states at the Fermi level: 6.9 states/eV/cell
space-group type: C2/m (12)

DyZnPtPb: relaxed, PBE-GGA.

a b c (Å): 4.9227 4.9227 4.9227
angles (deg): 60.00 60.00 60.00
Element x y z (fractional)
1 Dy 0.0000 0.0000 0.0000
2 Zn 0.7500 0.7500 0.7500
3 Pt 0.2500 0.2500 0.2500
4 Pb 0.5000 0.5000 0.5000

Computed properties:
formation energy from the elements: -0.527 eV/atom
V: 84.35 Å³/f.u.
total magnetization: 0.0 μB per formula unit
density of states at the Fermi level: 2.2 states/eV/cell
space-group type: F-43m (216)

> The highest V belongs to which entry?

Dy6Te3Pt2Pb